Compound: AuSe2Br
Source: Alexandria via LeMat-Bulk
Functional: PBE
Structure: relaxed

abc: 7.041 7.041 7.041
angles: 157.58 111.77 72.83
Sites, in units of the cell vectors:
Au: 0.000 0.000 0.000
Se: 0.194 0.694 0.500
Se: 0.806 0.306 0.500
Br: 0.500 0.500 0.000

The value obtained for the energy relative to the elements, uncorrected is 191 meV per atom.

=====

Compound: Na4InHg4
Source: Alexandria via LeMat-Bulk
Functional: PBE
Structure: relaxed

abc: 8.359 8.359 8.359
angles: 139.85 137.87 59.60
Sites, in units of the cell vectors:
Na: 0.002 0.934 0.573
Na: 0.361 0.429 0.427
Na: 0.639 0.066 0.069
Na: 0.998 0.571 0.931
In: 0.000 0.500 0.500
Hg: 0.254 0.134 0.577
Hg: 0.443 0.866 0.120
Hg: 0.557 0.677 0.423
Hg: 0.746 0.323 0.880

The calculation puts the formation energy at -1.24 eV per formula unit.

=====

| no. | DOS at the Fermi energy (states/eV/atom) | magnetic moment (μB per formula unit) |
| --- | --- | --- |
| 1 | 0.71 | 0.00 |
| 2 | 0.46 | 0.00 |